(A)
An optimized crystal structure of SrCd2Ag2, computed with PBE-GGA.

abc: 8.3882 8.3882 3.3620
angles: 90.00 90.00 90.00
Space group P4/mbm (No. 127)
One atom of each set of equivalent atoms:
Sr: 0.0000 0.0000 0.0000 x2
Cd: 0.1644 0.3356 0.5000 x4
Ag: 0.1280 0.6280 0.0000 x4

=====

(B)
An optimized crystal structure of SrCd2Ag2, computed with PBE-GGA.

abc: 4.4704 4.4704 12.8217
angles: 90.00 90.00 90.00
Space group I4/mmm (No. 139)
One atom of each set of equivalent atoms:
Sr: 0.0000 0.0000 0.0000 x2
Cd: 0.0000 0.5000 0.2500 x4
Ag: 0.0000 0.0000 0.3929 x4

=====

The structures above, arranged from the most stable to the least stable: (B), (A).